[1]
First-principles (PBE-GGA) data for a geometry-optimized TbGeSb structure, as listed in OQMD.

Structure (POSCAR):
```
TbGeSb
1.0
0.5167 -3.4279 -3.6305
0.2691 -4.8741 1.1701
-3.8149 -3.0644 -1.1199
Tb Ge Sb
1 1 1
Direct
0.0000 0.0000 0.0000
0.5000 0.5000 0.5000
0.2500 0.2500 0.2500
```

Values from the calculation:
Raw total energy (hartree per atom): -0.16962
Symmetry: F-43m
M_tot (μB per formula unit): 0.0


[2]
First-principles (PBE-GGA) data for a geometry-optimized FeCoBPt structure, as listed in OQMD.

Structure (POSCAR):
```
FeCoBPt
1.0
0.0000 2.8320 2.8320
2.8320 0.0000 2.8320
2.8320 2.8320 0.0000
Pt Co Fe B
1 1 1 1
Direct
0.2500 0.2500 0.2500
0.7500 0.7500 0.7500
0.5000 0.5000 0.5000
0.0000 0.0000 0.0000
```

Values from the calculation:
Polymorph energy (0 for the lowest one) (meV/atom): 0
Symmetry: F-43m
M_tot (μB per formula unit): 4.8


[3]
First-principles (PBE-GGA) data for a geometry-optimized GeW2 structure, as listed in OQMD.

Structure (POSCAR):
```
GeW2
1.0
0.0000 3.7533 3.7533
3.7533 0.0000 3.7533
3.7533 3.7533 0.0000
Ge W
2 4
Direct
0.0000 0.0000 0.0000
0.2500 0.2500 0.2500
0.6250 0.6250 0.6250
0.6250 0.1250 0.6250
0.6250 0.6250 0.1250
0.1250 0.6250 0.6250
```

Values from the calculation:
Polymorph energy (0 for the lowest one) (meV/atom): 466
Symmetry: Fd-3m
M_tot (μB per formula unit): 0.0


[4]
First-principles (PBE-GGA) data for a geometry-optimized HoAsPbO structure, as listed in OQMD.

Structure (POSCAR):
```
HoAsPbO
1.0
4.9431 0.0000 0.0000
0.0000 6.7388 0.0000
0.0000 0.0000 6.3797
Ho Pb O As
2 2 2 2
Direct
0.5000 0.3612 0.0394
0.5000 0.6388 0.5394
0.0000 0.7830 0.9393
0.0000 0.2170 0.4393
0.5000 0.3700 0.3720
0.5000 0.6300 0.8720
0.0000 0.7886 0.4034
0.0000 0.2114 0.9034
```

Values from the calculation:
Polymorph energy (0 for the lowest one) (meV/atom): 49
Symmetry: Pmc2_1
M_tot (μB per formula unit): 0.0